DFT (GGA-PBE) results for a geometry-optimized Sc2PaTl structure.

**Density of states at the Fermi level**: 5.0 states/eV/f.u.
**SG**: No. 160
**Formation enthalpy at 0 K**: -73.0 meV per atom
**ΔE to the lowest computed polymorph**: 19 meV/atom

Lattice parameters (Å, degrees): 3.280 3.280 10.559 81.07 81.07 60.00
Atoms (fractional coordinates):
1 Sc 0.082 0.082 0.754
2 Sc 0.251 0.251 0.246
3 Pa 0.500 0.500 0.500
4 Tl 0.667 0.667 0.000